1.
Density functional theory data (PBE) for crystalline CdPb2W at its relaxed geometry.

a = 7.748 Å, b = 7.748 Å, c = 7.748 Å
α = 157.76°, β = 141.77°, γ = 44.67°
Element x y z (fractional)
Cd (0.000, 0.000, 0.000)
Pb (0.324, 0.824, 0.500)
Pb (0.676, 0.176, 0.500)
W (0.500, 0.500, 0.000)

Values from the calculation:
- SG: Immm
- VASP energy: -4.7102 eV per atom
- Crystal system: orthorhombic

=====

2.
Density functional theory data (PBE) for crystalline Sr2PmErSe4 at its relaxed geometry.

a = 7.327 Å, b = 4.227 Å, c = 7.489 Å
α = 90.00°, β = 109.00°, γ = 90.00°
Element x y z (fractional)
Sr (0.000, 0.000, 0.000)
Sr (0.500, 0.500, 0.000)
Pm (0.000, 0.500, 0.500)
Er (0.500, 0.000, 0.500)
Se (0.253, 0.000, 0.735)
Se (0.263, 0.500, 0.270)
Se (0.737, 0.500, 0.730)
Se (0.747, 0.000, 0.265)

Values from the calculation:
- SG: P2/m
- VASP energy: -5.2108 eV per atom
- Crystal system: monoclinic

=====

3.
Density functional theory data (PBE) for crystalline Ba3NdRh2O9 at its relaxed geometry.

a = 5.933 Å, b = 5.933 Å, c = 7.371 Å
α = 90.00°, β = 90.00°, γ = 120.00°
Element x y z (fractional)
Ba (0.000, 0.000, 0.000)
Ba (0.333, 0.667, 0.686)
Ba (0.667, 0.333, 0.314)
Nd (0.000, 0.000, 0.500)
Rh (0.333, 0.667, 0.156)
Rh (0.667, 0.333, 0.844)
O (0.000, 0.500, 0.000)
O (0.179, 0.357, 0.313)
O (0.179, 0.821, 0.313)
O (0.357, 0.179, 0.687)
O (0.500, 0.000, 0.000)
O (0.500, 0.500, 0.000)
O (0.643, 0.821, 0.313)
O (0.821, 0.179, 0.687)
O (0.821, 0.643, 0.687)

Values from the calculation:
- SG: P-3m1
- VASP energy: -6.6404 eV per atom
- Crystal system: trigonal

=====

4.
Density functional theory data (PBE) for crystalline Na6HgSe4 at its relaxed geometry.

a = 8.996 Å, b = 8.996 Å, c = 8.996 Å
α = 152.30°, β = 64.64°, γ = 122.89°
Element x y z (fractional)
Na (0.121, 0.000, 0.121)
Na (0.190, 0.830, 0.360)
Na (0.469, 0.830, 0.640)
Na (0.523, 0.212, 0.311)
Na (0.879, 0.000, 0.879)
Na (0.901, 0.212, 0.689)
Hg (0.575, 0.575, 0.000)
Se (0.273, 0.273, 0.000)
Se (0.277, 0.526, 0.751)
Se (0.771, 0.271, 0.500)
Se (0.775, 0.526, 0.249)

Values from the calculation:
- SG: Imm2
- VASP energy: -2.9032 eV per atom
- Crystal system: orthorhombic

=====

5.
Density functional theory data (PBE) for crystalline Tb7DyTh2 at its relaxed geometry.

a = 10.267 Å, b = 10.267 Å, c = 3.491 Å
α = 90.00°, β = 90.00°, γ = 108.51°
Element x y z (fractional)
Tb (0.000, 0.000, 0.000)
Tb (0.116, 0.369, 0.000)
Tb (0.169, 0.831, 0.500)
Tb (0.369, 0.116, 0.000)
Tb (0.631, 0.884, 0.000)
Tb (0.831, 0.169, 0.500)
Tb (0.884, 0.631, 0.000)
Dy (0.500, 0.500, 0.500)
Th (0.327, 0.673, 0.000)
Th (0.673, 0.327, 0.000)

Values from the calculation:
- Excess energy over the best structure of this formula in the dataset: 0 meV per atom
- SG: Cmmm
- Crystal system: orthorhombic

=====

6.
Density functional theory data (PBE) for crystalline Mg3Zn2Pd at its relaxed geometry.

a = 7.358 Å, b = 7.358 Å, c = 3.178 Å
α = 90.00°, β = 90.00°, γ = 143.07°
Element x y z (fractional)
Mg (0.000, 0.000, 0.000)
Mg (0.341, 0.659, 0.000)
Mg (0.659, 0.341, 0.000)
Zn (0.170, 0.830, 0.500)
Zn (0.830, 0.170, 0.500)
Pd (0.500, 0.500, 0.500)

Values from the calculation:
- Excess energy over the best structure of this formula in the dataset: 3 meV per atom
- SG: Cmmm
- Crystal system: orthorhombic